Entry 1:
Entry from Alexandria via LeMat-Bulk: an optimized crystal structure of CdHg3 (PBE-GGA).

Geometry as CIF:
```
data_CdHg3
_chemical_formula_sum 'Cd4 Hg12'
_cell_length_a 7.217
_cell_length_b 9.150
_cell_length_c 6.422
_cell_angle_alpha 90.00
_cell_angle_beta 90.00
_cell_angle_gamma 90.00
_space_group_name_H-M_alt 'P n m a'
_space_group_IT_number 62
_space_group_name_Hall '-P 2ac 2n'
loop_
_atom_site_label
_atom_site_type_symbol
_atom_site_fract_x
_atom_site_fract_y
_atom_site_fract_z
Cd1 Cd 0.070 0.250 0.114
Hg1 Hg 0.007 0.250 0.622
Hg2 Hg 0.233 0.517 0.880
```

Computed properties:
Size of the total moment: 0.00 μB per formula unit
E_form: 7 kJ/mol of formula units

Entry 2:
Entry from Alexandria via LeMat-Bulk: an optimized crystal structure of Cd2Hg13 (PBE-GGA).

Geometry as CIF:
```
data_Cd2Hg13
_chemical_formula_sum 'Cd6 Hg39'
_cell_length_a 8.7443
_cell_length_b 8.7443
_cell_length_c 19.5293
_cell_angle_alpha 90.00
_cell_angle_beta 90.00
_cell_angle_gamma 120.00
_space_group_name_H-M_alt 'R -3 m'
_space_group_IT_number 166
_space_group_name_Hall '-R 3 2"'
loop_
_atom_site_label
_atom_site_type_symbol
_atom_site_fract_x
_atom_site_fract_y
_atom_site_fract_z
Cd1 Cd 0.0000 0.0000 0.1484
Hg1 Hg 0.0000 0.0000 0.0000
Hg2 Hg 0.0802 0.5401 0.3979
Hg3 Hg 0.0847 0.5423 0.2354
```

Computed properties:
Size of the total moment: 0.00 μB per formula unit
E_form: 54 kJ/mol of formula units

Entry 3:
Entry from Alexandria via LeMat-Bulk: an optimized crystal structure of Cd3Hg (PBE-GGA).

Geometry as CIF:
```
data_Cd3Hg
_chemical_formula_sum 'Cd9 Hg3'
_cell_length_a 10.2465
_cell_length_b 10.2465
_cell_length_c 3.1372
_cell_angle_alpha 90.00
_cell_angle_beta 90.00
_cell_angle_gamma 120.00
_space_group_name_H-M_alt 'R -3 m'
_space_group_IT_number 166
_space_group_name_Hall '-R 3 2"'
loop_
_atom_site_label
_atom_site_type_symbol
_atom_site_fract_x
_atom_site_fract_y
_atom_site_fract_z
Cd1 Cd 0.0000 0.5000 0.0000
Hg1 Hg 0.0000 0.0000 0.0000
```

Computed properties:
Size of the total moment: 0.00 μB per formula unit
E_form: 22 kJ/mol of formula units

Entry 4:
Entry from Alexandria via LeMat-Bulk: an optimized crystal structure of Cd4Hg3 (PBE-GGA).

Geometry as CIF:
```
data_Cd4Hg3
_chemical_formula_sum 'Cd8 Hg6'
_cell_length_a 4.076
_cell_length_b 4.076
_cell_length_c 20.374
_cell_angle_alpha 90.00
_cell_angle_beta 90.00
_cell_angle_gamma 90.00
_space_group_name_H-M_alt 'I 4/m m m'
_space_group_IT_number 139
_space_group_name_Hall '-I 4 2'
loop_
_atom_site_label
_atom_site_type_symbol
_atom_site_fract_x
_atom_site_fract_y
_atom_site_fract_z
Cd1 Cd 0.000 0.000 0.071
Cd2 Cd 0.000 0.000 0.356
Hg1 Hg 0.000 0.000 0.213
Hg2 Hg 0.000 0.000 0.500
```

Computed properties:
Size of the total moment: 0.00 μB per formula unit
E_form: 12 kJ/mol of formula units

Entry 5:
Entry from Alexandria via LeMat-Bulk: an optimized crystal structure of CdHg5 (PBE-GGA).

Geometry as CIF:
```
data_CdHg5
_chemical_formula_sum 'Cd2 Hg10'
_cell_length_a 11.118
_cell_length_b 3.555
_cell_length_c 8.313
_cell_angle_alpha 90.00
_cell_angle_beta 98.34
_cell_angle_gamma 90.00
_space_group_name_H-M_alt 'C 1 m 1'
_space_group_IT_number 8
_space_group_name_Hall 'C -2y'
loop_
_atom_site_label
_atom_site_type_symbol
_atom_site_fract_x
_atom_site_fract_y
_atom_site_fract_z
Cd1 Cd 0.000 0.000 0.000
Hg1 Hg 0.058 0.000 0.628
Hg2 Hg 0.227 0.500 0.034
Hg3 Hg 0.259 0.500 0.419
Hg4 Hg 0.334 0.000 0.748
Hg5 Hg 0.476 0.000 0.300
```

Computed properties:
Size of the total moment: 0.00 μB per formula unit
E_form: 13 kJ/mol of formula units

Entry 6:
Entry from Alexandria via LeMat-Bulk: an optimized crystal structure of Cd5Hg (PBE-GGA).

Geometry as CIF:
```
data_Cd5Hg
_chemical_formula_sum 'Cd10 Hg2'
_cell_length_a 4.484
_cell_length_b 13.881
_cell_length_c 4.443
_cell_angle_alpha 90.00
_cell_angle_beta 90.00
_cell_angle_gamma 90.00
_space_group_name_H-M_alt 'C m m m'
_space_group_IT_number 65
_space_group_name_Hall '-C 2 2'
loop_
_atom_site_label
_atom_site_type_symbol
_atom_site_fract_x
_atom_site_fract_y
_atom_site_fract_z
Cd1 Cd 0.000 0.000 0.000
Cd2 Cd 0.000 0.169 0.500
Cd3 Cd 0.000 0.333 0.000
Hg1 Hg 0.000 0.500 0.500
```

Computed properties:
Size of the total moment: 0.00 μB per formula unit
E_form: 7 kJ/mol of formula units

Entry 7:
Entry from Alexandria via LeMat-Bulk: an optimized crystal structure of CdHg3 (PBE-GGA).

Geometry as CIF:
```
data_CdHg3
_chemical_formula_sum 'Cd2 Hg6'
_cell_length_a 10.748
_cell_length_b 3.394
_cell_length_c 5.634
_cell_angle_alpha 90.00
_cell_angle_beta 102.59
_cell_angle_gamma 90.00
_space_group_name_H-M_alt 'C 1 2/m 1'
_space_group_IT_number 12
_space_group_name_Hall '-C 2y'
loop_
_atom_site_label
_atom_site_type_symbol
_atom_site_fract_x
_atom_site_fract_y
_atom_site_fract_z
Cd1 Cd 0.000 0.000 0.000
Hg1 Hg 0.000 0.500 0.500
Hg2 Hg 0.245 0.500 0.245
```

Computed properties:
Size of the total moment: 0.00 μB per formula unit
E_form: 13 kJ/mol of formula units

Entry 8:
Entry from Alexandria via LeMat-Bulk: an optimized crystal structure of Cd8Hg3 (PBE-GGA).

Geometry as CIF:
```
data_Cd8Hg3
_chemical_formula_sum 'Cd24 Hg9'
_cell_length_a 10.3536
_cell_length_b 10.3536
_cell_length_c 9.6629
_cell_angle_alpha 90.00
_cell_angle_beta 90.00
_cell_angle_gamma 120.00
_space_group_name_H-M_alt 'R -3'
_space_group_IT_number 148
_space_group_name_Hall '-R 3'
loop_
_atom_site_label
_atom_site_type_symbol
_atom_site_fract_x
_atom_site_fract_y
_atom_site_fract_z
Cd1 Cd 0.0000 0.0000 0.1536
Cd2 Cd 0.0261 0.2297 0.4053
Hg1 Hg 0.0000 0.5000 0.5000
```

Computed properties:
Size of the total moment: 0.00 μB per formula unit
E_form: 91 kJ/mol of formula units

Entry 9:
Entry from Alexandria via LeMat-Bulk: an optimized crystal structure of CdHg3 (PBE-GGA).

Geometry as CIF:
```
data_CdHg3
_chemical_formula_sum 'Cd4 Hg12'
_cell_length_a 6.387
_cell_length_b 12.181
_cell_length_c 5.329
_cell_angle_alpha 90.00
_cell_angle_beta 90.00
_cell_angle_gamma 90.00
_space_group_name_H-M_alt 'C m c m'
_space_group_IT_number 63
_space_group_name_Hall '-C 2c 2'
loop_
_atom_site_label
_atom_site_type_symbol
_atom_site_fract_x
_atom_site_fract_y
_atom_site_fract_z
Cd1 Cd 0.000 0.076 0.250
Hg1 Hg 0.000 0.425 0.750
Hg2 Hg 0.248 0.173 0.750
```

Computed properties:
Size of the total moment: 0.00 μB per formula unit
E_form: 13 kJ/mol of formula units

Entry 10:
Entry from Alexandria via LeMat-Bulk: an optimized crystal structure of Cd3Hg13 (PBE-GGA).

Geometry as CIF:
```
data_Cd3Hg13
_chemical_formula_sum 'Cd6 Hg26'
_cell_length_a 7.936
_cell_length_b 9.410
_cell_length_c 11.338
_cell_angle_alpha 90.00
_cell_angle_beta 90.00
_cell_angle_gamma 90.00
_space_group_name_H-M_alt 'A m m 2'
_space_group_IT_number 38
_space_group_name_Hall 'A 2 -2'
loop_
_atom_site_label
_atom_site_type_symbol
_atom_site_fract_x
_atom_site_fract_y
_atom_site_fract_z
Cd1 Cd 0.000 0.000 0.000
Cd2 Cd 0.273 0.000 0.268
Hg1 Hg 0.000 0.000 0.495
Hg2 Hg 0.000 0.222 0.209
Hg3 Hg 0.217 0.000 0.748
Hg4 Hg 0.250 0.243 0.966
Hg5 Hg 0.500 0.000 0.033
Hg6 Hg 0.500 0.000 0.505
Hg7 Hg 0.500 0.229 0.726
```

Computed properties:
Size of the total moment: 0.00 μB per formula unit
E_form: 35 kJ/mol of formula units

Entry 11:
Entry from Alexandria via LeMat-Bulk: an optimized crystal structure of Cd2Hg (PBE-GGA).

Geometry as CIF:
```
data_Cd2Hg
_chemical_formula_sum 'Cd8 Hg4'
_cell_length_a 12.035
_cell_length_b 3.282
_cell_length_c 7.611
_cell_angle_alpha 90.00
_cell_angle_beta 110.40
_cell_angle_gamma 90.00
_space_group_name_H-M_alt 'C 1 m 1'
_space_group_IT_number 8
_space_group_name_Hall 'C -2y'
loop_
_atom_site_label
_atom_site_type_symbol
_atom_site_fract_x
_atom_site_fract_y
_atom_site_fract_z
Cd1 Cd 0.000 0.000 0.000
Cd2 Cd 0.066 0.000 0.624
Cd3 Cd 0.228 0.500 0.960
Cd4 Cd 0.400 0.000 0.292
Hg1 Hg 0.170 0.500 0.330
Hg2 Hg 0.338 0.000 0.671
```

Computed properties:
Size of the total moment: 0.00 μB per formula unit
E_form: 8 kJ/mol of formula units

Entry 12:
Entry from Alexandria via LeMat-Bulk: an optimized crystal structure of CdHg7 (PBE-GGA).

Geometry as CIF:
```
data_CdHg7
_chemical_formula_sum 'Cd4 Hg28'
_cell_length_a 9.363
_cell_length_b 9.363
_cell_length_c 9.363
_cell_angle_alpha 90.00
_cell_angle_beta 90.00
_cell_angle_gamma 90.00
_space_group_name_H-M_alt 'F m -3 m'
_space_group_IT_number 225
_space_group_name_Hall '-F 4 2 3'
loop_
_atom_site_label
_atom_site_type_symbol
_atom_site_fract_x
_atom_site_fract_y
_atom_site_fract_z
Cd1 Cd 0.000 0.000 0.000
Hg1 Hg 0.000 0.000 0.500
Hg2 Hg 0.000 0.250 0.250
```

Computed properties:
Size of the total moment: 0.00 μB per formula unit
E_form: 31 kJ/mol of formula units

Number 1: raw total energy -1.7 eV per formula unit, N(E_F) 0.29 states/eV/atom. Number 2: raw total energy -5.2 eV per formula unit, N(E_F) 0.26 states/eV/atom. Number 3: raw total energy -2.8 eV per formula unit, N(E_F) 0.41 states/eV/atom. Number 4: raw total energy -4.4 eV per formula unit, N(E_F) 0.36 states/eV/atom. Number 5: raw total energy -2.3 eV per formula unit, N(E_F) 0.24 states/eV/atom. Number 6: raw total energy -4.8 eV per formula unit, N(E_F) 0.27 states/eV/atom. Number 7: raw total energy -1.7 eV per formula unit, N(E_F) 0.21 states/eV/atom. Number 8: raw total energy -7.3 eV per formula unit, N(E_F) 0.33 states/eV/atom. Number 9: raw total energy -1.7 eV per formula unit, N(E_F) 0.29 states/eV/atom. Number 10: raw total energy -6.3 eV per formula unit, N(E_F) 0.16 states/eV/atom. Number 11: raw total energy -2.0 eV per formula unit, N(E_F) 0.28 states/eV/atom. Number 12: raw total energy -2.7 eV per formula unit, N(E_F) 0.30 states/eV/atom.